1.
The following is a GGA-PBE calculation of an optimized crystal structure of DySc2, from OQMD via LeMat-Bulk.

Calculated values
- raw total energy (eV per atom) = -5.529
- symmetry = P4/nmm
- ΔE to the lowest computed polymorph (meV per atom) = 0
- energy of formation from the pure elements (eV per atom) = 0.2234

```
DySc2
1.0
-3.1502 0.5158 -3.1408
-3.1715 -0.8818 3.0362
-0.4839 7.8523 1.7750
Sc Dy
4 2
direct
0.5000 0.0000 0.2900
0.5000 0.5000 0.0000
0.0000 0.0000 0.0000
0.0000 0.5000 0.7100
0.5000 0.0000 0.6899
0.0000 0.5000 0.3101
```

---

2.
The following is a GGA-PBE calculation of an optimized crystal structure of Zr2Pd, from OQMD via LeMat-Bulk.

Calculated values
- raw total energy (eV per atom) = -7.910
- symmetry = Cmcm
- energy of formation from the pure elements (eV per atom) = -0.4871

```
Zr2Pd
1.0
-1.4795 -2.8856 3.4821
-7.5986 -3.8344 -6.4059
2.9846 -3.3690 -1.5237
Pd Zr
4 8
direct
0.4118 0.0000 0.5000
0.9119 0.5000 0.5000
0.9215 0.0000 0.0000
0.4215 0.5000 0.0000
0.9152 0.8432 0.5000
0.4181 0.1568 0.0000
0.4152 0.6568 0.5000
0.9181 0.6568 0.0000
0.4181 0.8432 0.0000
0.9181 0.3432 0.0000
0.4152 0.3432 0.5000
0.9152 0.1568 0.5000
```

---

3.
The following is a GGA-PBE calculation of an optimized crystal structure of TmAuSO, from OQMD via LeMat-Bulk.

Calculated values
- raw total energy (eV per atom) = -6.060
- symmetry = P4bm
- ΔE to the lowest computed polymorph (meV per atom) = 137

```
TmAuSO
1.0
5.4384 0.0000 0.0000
0.0000 5.4384 0.0000
0.0000 0.0000 9.1203
Tm O S Au
4 4 4 4
direct
0.0000 0.5000 0.1208
0.0000 0.0000 0.8800
0.5000 0.5000 0.8800
0.5000 0.0000 0.1208
0.7510 0.7490 0.0016
0.2490 0.2510 0.0016
0.2510 0.7510 0.0016
0.7490 0.2490 0.0016
0.0000 0.0000 0.2854
0.5000 0.5000 0.2854
0.5000 0.0000 0.7238
0.0000 0.5000 0.7238
0.6817 0.1817 0.4934
0.3183 0.8183 0.4934
0.1817 0.3183 0.4934
0.8183 0.6817 0.4934
```